Record 1
Material: AlCd2Ag
Method: DFT, GGA-PBE
State: optimized geometry

space-group type	Pmmm
energy of formation	46	meV per atom
V	78.5	Å³ per cell
ρ	7.61	g cm⁻³
DOS(E_F)	1.3	states/eV/f.u.
total magnetization	0.000	μB per formula unit
total DFT energy (no corrections)	-2.060	eV/atom

a b c (Å): 3.1667 4.2091 5.8910
angles (deg): 90.00 90.00 90.00
Fractional positions:
Al (0.5000, 0.5000, 0.7500)
Cd (0.0000, 0.0000, 0.0001)
Cd (0.0000, 0.0000, 0.4999)
Ag (0.5000, 0.5000, 0.2500)

=====

Record 2
Material: AlCdAg
Method: DFT, GGA-PBE
State: optimized geometry

space-group type	I4mm
energy of formation	44	meV per atom
V	56.6	Å³ per cell
ρ	7.26	g cm⁻³
DOS(E_F)	1.2	states/eV/f.u.
total magnetization	0.000	μB per formula unit
total DFT energy (no corrections)	-2.459	eV/atom

a b c (Å): 6.6697 6.6697 6.6697
angles (deg): 154.09 154.09 36.97
Fractional positions:
Al (0.3432, 0.3432, 0.0000)
Ag (0.9897, 0.9897, 0.0000)
Cd (0.6671, 0.6671, 0.0000)

=====

Record 3
Material: Al2CdAg
Method: DFT, GGA-PBE
State: optimized geometry

space-group type	Cm
energy of formation	70	meV per atom
V	73.7	Å³ per cell
ρ	6.18	g cm⁻³
DOS(E_F)	1.3	states/eV/f.u.
total magnetization	0.000	μB per formula unit
total DFT energy (no corrections)	-2.743	eV/atom

a b c (Å): 5.2740 5.2740 5.0011
angles (deg): 81.58 81.58 32.44
Fractional positions:
Al (0.0053, 0.0053, 0.0020)
Al (0.2556, 0.2556, 0.2365)
Ag (0.7444, 0.7444, 0.7575)
Cd (0.4947, 0.4947, 0.5039)

=====

Record 4
Material: Al7CdAg4
Method: DFT, GGA-PBE
State: optimized geometry

space-group type	P-3m1
energy of formation	-6	meV per atom
V	208.8	Å³ per cell
ρ	5.83	g cm⁻³
DOS(E_F)	2.7	states/eV/f.u.
total magnetization	0.000	μB per formula unit
total DFT energy (no corrections)	-3.216	eV/atom

a b c (Å): 2.9788 2.9788 27.1734
angles (deg): 90.00 90.00 120.00
Fractional positions:
Ag (0.3333, 0.6667, 0.6732)
Ag (0.3333, 0.6667, 0.9182)
Ag (0.6667, 0.3333, 0.3268)
Ag (0.6667, 0.3333, 0.0818)
Cd (0.0000, 0.0000, 0.5000)
Al (0.0000, 0.0000, 0.0000)
Al (0.3333, 0.6667, 0.4090)
Al (0.6667, 0.3333, 0.8368)
Al (0.0000, 0.0000, 0.7543)
Al (0.0000, 0.0000, 0.2457)
Al (0.6667, 0.3333, 0.5910)
Al (0.3333, 0.6667, 0.1632)

=====

Record 5
Material: AlCd2Ag6
Method: DFT, GGA-PBE
State: optimized geometry

space-group type	Immm
energy of formation	29	meV per atom
V	171.9	Å³ per cell
ρ	8.69	g cm⁻³
DOS(E_F)	2.7	states/eV/f.u.
total magnetization	0.000	μB per formula unit
total DFT energy (no corrections)	-2.491	eV/atom

a b c (Å): 4.7867 8.1056 6.4634
angles (deg): 128.83 111.74 90.00
Fractional positions:
Ag (0.8383, 0.5353, 0.6769)
Ag (0.8383, 0.1417, 0.6769)
Ag (0.5000, 0.8249, 0.0000)
Ag (0.1617, 0.4647, 0.3231)
Ag (0.1617, 0.8583, 0.3231)
Ag (0.5000, 0.1751, 0.0000)
Cd (0.6651, 0.6648, 0.3296)
Cd (0.3349, 0.3352, 0.6704)
Al (0.0000, 0.0000, 0.0000)

=====

Record 6
Material: AlCdAg
Method: DFT, GGA-PBE
State: optimized geometry

space-group type	C2/m
energy of formation	21	meV per atom
V	118.7	Å³ per cell
ρ	6.92	g cm⁻³
DOS(E_F)	0.8	states/eV/f.u.
total magnetization	0.000	μB per formula unit
total DFT energy (no corrections)	-2.482	eV/atom

a b c (Å): 4.6958 4.6958 8.9746
angles (deg): 66.14 66.14 41.72
Fractional positions:
Ag (0.6160, 0.6160, 0.4284)
Ag (0.1372, 0.1372, 0.8789)
Al (0.4762, 0.4762, 0.7521)
Al (0.2770, 0.2770, 0.5552)
Cd (0.9742, 0.9742, 0.2500)
Cd (0.7790, 0.7790, 0.0574)

=====

Record 7
Material: AlCdAg2
Method: DFT, GGA-PBE
State: optimized geometry

space-group type	Imm2
energy of formation	5	meV per atom
V	72.5	Å³ per cell
ρ	8.13	g cm⁻³
DOS(E_F)	0.8	states/eV/f.u.
total magnetization	0.000	μB per formula unit
total DFT energy (no corrections)	-2.585	eV/atom

a b c (Å): 5.5686 5.5686 5.5686
angles (deg): 146.33 130.09 61.56
Fractional positions:
Al (0.5105, 0.5105, 0.0000)
Ag (0.7387, 0.2387, 0.5000)
Ag (0.9944, 0.9944, 0.0000)
Cd (0.2564, 0.7564, 0.5000)

=====

Record 8
Material: AlCdAg2
Method: DFT, GGA-PBE
State: optimized geometry

space-group type	Pmmm
energy of formation	-25	meV per atom
V	71.8	Å³ per cell
ρ	8.21	g cm⁻³
DOS(E_F)	0.9	states/eV/f.u.
total magnetization	0.000	μB per formula unit
total DFT energy (no corrections)	-2.615	eV/atom

a b c (Å): 3.1288 3.4369 6.6790
angles (deg): 90.00 90.00 90.00
Fractional positions:
Ag (0.0000, 0.0000, 0.4749)
Ag (0.0000, 0.0000, 0.0251)
Al (0.5000, 0.5000, 0.2500)
Cd (0.5000, 0.5000, 0.7500)

=====

Record 9
Material: AlCd2Ag8
Method: DFT, GGA-PBE
State: optimized geometry

space-group type	C2/m
energy of formation	162	meV per atom
V	233.2	Å³ per cell
ρ	7.94	g cm⁻³
DOS(E_F)	2.7	states/eV/f.u.
total magnetization	0.000	μB per formula unit
total DFT energy (no corrections)	-2.418	eV/atom

a b c (Å): 5.0394 7.0122 7.0122
angles (deg): 82.75 76.26 76.26
Fractional positions:
Ag (0.1705, 0.8439, 0.3310)
Ag (0.8295, 0.1561, 0.6690)
Ag (0.1179, 0.7296, 0.7296)
Ag (0.8821, 0.2704, 0.2704)
Ag (0.1705, 0.3310, 0.8439)
Ag (0.2930, 0.4319, 0.4319)
Ag (0.8295, 0.6690, 0.1561)
Ag (0.7070, 0.5681, 0.5681)
Cd (0.4572, 0.1516, 0.1516)
Cd (0.5428, 0.8484, 0.8484)
Al (0.0000, 0.0000, 0.0000)

=====

Record 10
Material: AlCd3Ag6
Method: DFT, GGA-PBE
State: optimized geometry

space-group type	P2_1/m
energy of formation	-13	meV per atom
V	376.3	Å³ per cell
ρ	8.93	g cm⁻³
DOS(E_F)	2.2	states/eV/f.u.
total magnetization	0.000	μB per formula unit
total DFT energy (no corrections)	-2.373	eV/atom

a b c (Å): 2.9675 10.9075 12.5688
angles (deg): 112.33 90.00 90.00
Fractional positions:
Ag (0.7500, 0.5613, 0.6932)
Ag (0.2500, 0.4387, 0.3068)
Ag (0.7500, 0.2684, 0.8997)
Ag (0.7500, 0.1126, 0.4826)
Ag (0.2500, 0.8874, 0.5174)
Ag (0.7500, 0.8439, 0.7131)
Ag (0.2500, 0.0433, 0.9043)
Ag (0.2500, 0.3018, 0.7075)
Ag (0.2500, 0.7316, 0.1003)
Ag (0.7500, 0.6982, 0.2925)
Ag (0.7500, 0.9567, 0.0957)
Ag (0.2500, 0.1561, 0.2869)
Al (0.7500, 0.0770, 0.6934)
Al (0.2500, 0.9230, 0.3066)
Cd (0.7500, 0.6342, 0.4944)
Cd (0.2500, 0.4696, 0.0952)
Cd (0.2500, 0.3658, 0.5056)
Cd (0.7500, 0.5304, 0.9048)
Cd (0.2500, 0.7718, 0.8847)
Cd (0.7500, 0.2282, 0.1153)

=====

Record 11
Material: AlCd3Ag12
Method: DFT, GGA-PBE
State: optimized geometry

space-group type	P4/mmm
energy of formation	-31	meV per atom
V	291.4	Å³ per cell
ρ	9.45	g cm⁻³
DOS(E_F)	5.6	states/eV/f.u.
total magnetization	0.000	μB per formula unit
total DFT energy (no corrections)	-2.575	eV/atom

a b c (Å): 4.1373 4.1373 17.0246
angles (deg): 90.00 90.00 90.00
Fractional positions:
Al (0.0000, 0.0000, 0.0000)
Ag (0.0000, 0.5000, 0.6276)
Ag (0.0000, 0.5000, 0.3724)
Ag (0.5000, 0.0000, 0.1178)
Ag (0.0000, 0.5000, 0.8822)
Ag (0.5000, 0.5000, 0.0000)
Ag (0.5000, 0.5000, 0.2448)
Ag (0.5000, 0.0000, 0.3724)
Ag (0.5000, 0.5000, 0.7552)
Ag (0.0000, 0.5000, 0.1178)
Ag (0.5000, 0.5000, 0.5000)
Ag (0.5000, 0.0000, 0.6276)
Ag (0.5000, 0.0000, 0.8822)
Cd (0.0000, 0.0000, 0.7548)
Cd (0.0000, 0.0000, 0.2452)
Cd (0.0000, 0.0000, 0.5000)

=====

Record 12
Material: AlCd4Ag4
Method: DFT, GGA-PBE
State: optimized geometry

space-group type	I4/mmm
energy of formation	-12	meV per atom
V	172.0	Å³ per cell
ρ	8.77	g cm⁻³
DOS(E_F)	1.5	states/eV/f.u.
total magnetization	0.000	μB per formula unit
total DFT energy (no corrections)	-2.102	eV/atom

a b c (Å): 4.1814 6.7454 6.7454
angles (deg): 84.49 71.94 71.94
Fractional positions:
Ag (0.1614, 0.1771, 0.0001)
Ag (0.1615, 0.4999, 0.6771)
Ag (0.8386, 0.8229, 0.9999)
Ag (0.8385, 0.5001, 0.3229)
Cd (0.1745, 0.8254, 0.3256)
Cd (0.5001, 0.1744, 0.3254)
Cd (0.4999, 0.8256, 0.6746)
Cd (0.8255, 0.1746, 0.6744)
Al (0.5000, 0.5000, 0.0000)